one | Crystalline CoNiRh at its relaxed geometry. Source: Alexandria, functional PBE-GGA.

Calculated values
The value obtained for the density of states at the Fermi level is 3.9 states/eV/cell. As for the total magnetization: 3.18 μB per formula unit. The space group is No. 107.

a b c (Å): 5.6860 5.6860 5.6860
angles (deg): 153.40 153.40 37.97
With the nearest neighbours (Å) after each atom.
Sites, in units of the cell vectors:
Co 0.9950 0.9950 0.0000  4 Ni 2.49, 4 Rh 2.60, 4 Co 2.62
Ni 0.3403 0.3403 0.0000  4 Co 2.49, 4 Ni 2.62, 4 Rh 2.64
Rh 0.6647 0.6647 0.0000  4 Co 2.60, 4 Rh 2.62, 4 Ni 2.64


two | Crystalline CoNiRh at its relaxed geometry. Source: Alexandria, functional PBE-GGA.

Calculated values
The value obtained for the density of states at the Fermi level is 4.4 states/eV/cell. As for the total magnetization: 3.22 μB per formula unit. The space group is No. 44.

a b c (Å): 4.4852 4.4852 4.4852
angles (deg): 146.10 132.43 59.69
With the nearest neighbours (Å) after each atom.
Sites, in units of the cell vectors:
Co 0.9976 0.9976 0.0000  5 Ni 2.56-2.64, 5 Rh 2.58-2.59, 2 Co 2.62
Rh 0.6658 0.6658 0.0000  5 Ni 2.56-2.60, 5 Co 2.58-2.59, 2 Rh 2.62
Ni 0.3366 0.3366 0.0000  5 Co 2.56-2.64, 5 Rh 2.56-2.60, 2 Ni 2.62


Taking the most stable structure as the zero point, the relative energies in kJ/mol of atoms are one 0.6; two 0.0.


one | Crystalline CoNiRh at its relaxed geometry. Source: Alexandria, functional PBE-GGA.

Calculated values
The value obtained for the density of states at the Fermi level is 14.7 states/eV/cell. As for the total magnetization: 3.37 μB per formula unit. The space group is No. 62.

a b c (Å): 2.6537 8.7816 6.3069
angles (deg): 90.00 90.00 90.00
With the nearest neighbours (Å) after each atom.
Sites, in units of the cell vectors:
Co 0.7500 0.3977 0.9261  4 Co 2.42-2.65, 4 Ni 2.45-2.48, 3 Rh 2.61-2.65
Co 0.2500 0.6023 0.0739  4 Co 2.42-2.65, 4 Ni 2.45-2.48, 3 Rh 2.61-2.65
Co 0.7500 0.1023 0.4261  4 Co 2.42-2.65, 4 Ni 2.45-2.48, 3 Rh 2.61-2.65
Co 0.2500 0.8977 0.5739  4 Co 2.42-2.65, 4 Ni 2.45-2.48, 3 Rh 2.61-2.65
Ni 0.2500 0.2841 0.6338  4 Co 2.45-2.48, 5 Rh 2.57-2.60, 2 Ni 2.65
Ni 0.7500 0.7160 0.3662  4 Co 2.45-2.48, 5 Rh 2.57-2.60, 2 Ni 2.65
Ni 0.2500 0.2160 0.1338  4 Co 2.45-2.48, 5 Rh 2.57-2.60, 2 Ni 2.65
Ni 0.7500 0.7840 0.8662  4 Co 2.45-2.48, 5 Rh 2.57-2.60, 2 Ni 2.65
Rh 0.2500 0.9238 0.1612  5 Ni 2.57-2.60, 4 Co 2.61-2.88, 4 Rh 2.65-2.77
Rh 0.7500 0.4238 0.3388  5 Ni 2.57-2.60, 4 Co 2.61-2.88, 4 Rh 2.65-2.77
Rh 0.2500 0.5762 0.6612  5 Ni 2.57-2.60, 4 Co 2.61-2.88, 4 Rh 2.65-2.77
Rh 0.7500 0.0762 0.8388  5 Ni 2.57-2.60, 4 Co 2.61-2.88, 4 Rh 2.65-2.77


two | Crystalline CoNiRh at its relaxed geometry. Source: Alexandria, functional PBE-GGA.

Calculated values
The value obtained for the density of states at the Fermi level is 7.9 states/eV/cell. As for the total magnetization: 2.56 μB per formula unit. The space group is No. 12.

a b c (Å): 2.6120 2.6120 13.2686
angles (deg): 107.26 107.26 59.97
With the nearest neighbours (Å) after each atom.
Sites, in units of the cell vectors:
Ni 0.3054 0.3054 0.4889  3 Co 2.49-2.50, 6 Ni 2.61, 3 Rh 2.61-2.62
Ni 0.8303 0.8303 0.0138  3 Co 2.49-2.50, 6 Ni 2.61, 3 Rh 2.61-2.62
Co 0.8126 0.8126 0.3293  9 Co 2.46-2.61, 3 Ni 2.49-2.50
Co 0.3232 0.3232 0.1734  9 Co 2.46-2.61, 3 Ni 2.49-2.50
Rh 0.3257 0.3257 0.8422  9 Rh 2.61-2.72, 3 Ni 2.61-2.62
Rh 0.8101 0.8101 0.6605  9 Rh 2.61-2.72, 3 Ni 2.61-2.62


three | Crystalline CoNiRh at its relaxed geometry. Source: Alexandria, functional PBE-GGA.

Calculated values
The value obtained for the density of states at the Fermi level is 4.7 states/eV/cell. As for the total magnetization: 3.52 μB per formula unit. The space group is No. 107.

a b c (Å): 4.6288 4.6288 4.6288
angles (deg): 142.11 142.11 54.66
With the nearest neighbours (Å) after each atom.
Sites, in units of the cell vectors:
Rh 0.6665 0.6665 0.0000  5 Co 2.58-2.65, 5 Ni 2.58-2.64
Ni 0.3451 0.3451 0.0000  4 Co 2.43, 5 Rh 2.58-2.64
Co 0.9883 0.9883 0.0000  4 Ni 2.43, 5 Rh 2.58-2.65


Taking the most stable structure as the zero point, the relative energies in kJ/mol of atoms are one 0.0; two 2.6; three 7.4.